Record 1
ScCrHgI6: relaxed, PBE.

The space group is P312 (No. 149) and the conventional cell measures 7.1878, 7.1878 and 9.6850 Å, with angles of 90.00, 90.00 and 120.00 degrees. The distinct sites, in fractional coordinates, are Sc at (0.0000, 0.0000, 0.0000), Cr at (0.6667, 0.3333, 0.0000), Hg at (0.3333, 0.6667, 0.5000) and I at (0.3477, 0.0333, 0.1677).

As for the volume: 48.15 Å³ per atom. For the total energy, the calculation gives -3.550 eV/atom.



Record 2
K2ScCo: relaxed, PBE.

The space group is Pmmm (No. 47) and the conventional cell measures 3.258, 5.996 and 6.082 Å, with angles of 90.00, 90.00 and 90.00 degrees. The distinct sites, in fractional coordinates, are K at (0.000, 0.239, 0.000), Sc at (0.500, 0.500, 0.500) and Co at (0.500, 0.000, 0.500).

As for the volume: 29.71 Å³ per atom. As for the energy above the most stable polymorph in this dataset: 696 meV/atom. For the total energy, the calculation gives -2.852 eV/atom.



Record 3
LaThZn2: relaxed, PBE.

The space group is Fm-3m (No. 225) and the conventional cell measures 7.409, 7.409 and 7.409 Å, with angles of 90.00, 90.00 and 90.00 degrees. The distinct sites, in fractional coordinates, are La at (0.000, 0.000, 0.000), Th at (0.000, 0.000, 0.500) and Zn at (0.250, 0.250, 0.250).

As for the volume: 25.42 Å³ per atom. As for the energy above the most stable polymorph in this dataset: 27 meV/atom. For the total energy, the calculation gives -3.941 eV/atom.



Record 4
Na2MnAuCl6: relaxed, PBE.

The space group is P1 (No. 1) and the conventional cell measures 6.773, 6.961 and 7.148 Å, with angles of 67.24, 65.90 and 63.53 degrees. The distinct sites, in fractional coordinates, are Na at (0.000, 0.000, 0.000), Na at (0.444, 0.432, 0.596), Mn at (0.656, 0.670, 0.966), Au at (0.243, 0.079, 0.269), Cl at (0.000, 0.725, 0.791), Cl at (0.342, 0.575, 0.190), Cl at (0.434, 0.006, 0.759), Cl at (0.619, 0.839, 0.232), Cl at (0.756, 0.423, 0.777) and Cl at (0.864, 0.274, 0.281).

As for the volume: 26.66 Å³ per atom. For the total energy, the calculation gives -3.731 eV/atom.



Record 5
Pr8SmTh4: relaxed, PBE.

The space group is R-3m (No. 166, hexagonal axes) and the conventional cell measures 11.5147, 11.5147 and 13.1900 Å, with angles of 90.00, 90.00 and 120.00 degrees. The distinct sites, in fractional coordinates, are Pr at (0.0000, 0.0000, 0.2364), Pr at (0.0070, 0.5035, 0.7324), Sm at (0.0000, 0.0000, 0.5000), Th at (0.0000, 0.0000, 0.0000) and Th at (0.0000, 0.5000, 0.0000).

As for the volume: 38.83 Å³ per atom. For the total energy, the calculation gives -5.042 eV/atom.



Record 6
KSrNdSeO6: relaxed, PBE.

The space group is F-43m (No. 216) and the conventional cell measures 8.272, 8.272 and 8.272 Å, with angles of 90.00, 90.00 and 90.00 degrees. The distinct sites, in fractional coordinates, are K at (0.000, 0.000, 0.000), Sr at (0.000, 0.000, 0.500), Nd at (0.250, 0.250, 0.250), Se at (0.250, 0.250, 0.750) and O at (0.029, 0.250, 0.750).

As for the volume: 14.15 Å³ per atom. For the total energy, the calculation gives -6.049 eV/atom.